Entry 1:
DFT (GGA-PBE) results for SrTe2Mo after structural relaxation.

a b c (Å): 8.487 5.378 3.765
angles (deg): 90.01 63.65 129.32
Last column: magnetic moment on the atom in μB.
Positions (direct):
Te: 0.000 0.000 0.000  -0.09
Te: 0.500 0.000 0.500  -0.09
Mo: 0.000 0.500 0.500  2.93
Sr: 0.500 0.500 0.000  0.03

Properties
The distance to the lowest polymorph of the same formula is 1.445 eV/f.u. The symmetry is No. 123.



Entry 2:
DFT (GGA-PBE) results for SrTe2Mo after structural relaxation.

a b c (Å): 7.947 7.947 7.947
angles (deg): 153.43 151.20 39.58
Positions (direct):
Mo: 0.545 0.545 0.000
Te: 0.973 0.973 0.000
Sr: 0.301 0.801 0.500
Te: 0.682 0.182 0.500

Properties
The distance to the lowest polymorph of the same formula is 0.602 eV/f.u. The symmetry is No. 44.



Entry 3:
DFT (GGA-PBE) results for SrTe2Mo after structural relaxation.

a b c (Å): 6.531 6.531 8.434
angles (deg): 67.22 67.22 90.00
Positions (direct):
Te: 0.375 0.292 0.750
Mo: 0.000 0.000 0.000
Sr: 0.500 0.500 0.000
Te: 0.875 0.958 0.750
Mo: 0.750 0.250 0.500
Te: 0.042 0.625 0.250
Sr: 0.250 0.750 0.500
Te: 0.708 0.125 0.250

Properties
The distance to the lowest polymorph of the same formula is 1.256 eV/f.u. The symmetry is No. 122.



Entry 4:
DFT (GGA-PBE) results for SrTe2Mo after structural relaxation.

a b c (Å): 7.363 7.363 7.363
angles (deg): 34.32 34.32 34.32
Last column: magnetic moment on the atom in μB.
Positions (direct):
Mo: 0.250 0.250 0.250  1.76
Te: 0.517 0.517 0.517  -0.01
Te: 0.983 0.983 0.983  -0.01
Sr: 0.750 0.750 0.750  -0.01

Properties
The distance to the lowest polymorph of the same formula is 0.000 eV/f.u. The symmetry is No. 166.



What did the fourth record say?
DFT (GGA-PBE) results for SrTe2Mo after structural relaxation.

a b c (Å): 7.363 7.363 7.363
angles (deg): 34.32 34.32 34.32
Last column: magnetic moment on the atom in μB.
Positions (direct):
Mo: 0.250 0.250 0.250  1.76
Te: 0.517 0.517 0.517  -0.01
Te: 0.983 0.983 0.983  -0.01
Sr: 0.750 0.750 0.750  -0.01

Properties
The distance to the lowest polymorph of the same formula is 0.000 eV/f.u. The symmetry is No. 166.